A geometry-optimized Sc3InTe structure. Source: Alexandria via LeMat-Bulk, functional GGA-PBE.

Cell and atoms, written as POSCAR:
```
Sc3InTe
1.0
5.267 0.000 0.000
0.000 5.267 0.000
0.000 0.000 5.267
Te Sc In
1 3 1
direct
0.000 0.000 0.000 Te
0.500 0.000 0.000 Sc
0.000 0.000 0.500 Sc
0.000 0.500 0.000 Sc
0.500 0.500 0.500 In
```

Results
ΔE to the lowest computed polymorph: 0.0 meV per atom
Total magnetic moment: 0.000 Bohr magnetons per cell
Uncorrected formation energy: -0.085 eV/atom